A plane-wave DFT calculation with GGA-PBE was carried out for a relaxed structure of NaHo5In3.

Computed properties:
- Mass density: 7.9 g/cm3
- DFT formation energy: -269 kJ/mol of formula units

a = 9.303 Å, b = 9.303 Å, c = 6.653 Å
α = 90.00°, β = 90.00°, γ = 120.00°
Fractional coordinates of all 18 atoms:
Na 0.000 0.000 0.000
Na 0.000 0.000 0.500
Ho 0.000 0.319 0.250
Ho 0.000 0.681 0.750
Ho 0.319 0.000 0.250
Ho 0.319 0.319 0.750
Ho 0.333 0.667 0.000
Ho 0.333 0.667 0.500
Ho 0.667 0.333 0.000
Ho 0.667 0.333 0.500
Ho 0.681 0.000 0.750
Ho 0.681 0.681 0.250
In 0.000 0.349 0.750
In 0.000 0.651 0.250
In 0.349 0.000 0.750
In 0.349 0.349 0.250
In 0.651 0.000 0.250
In 0.651 0.651 0.750